Entry from the Alexandria database: an optimized crystal structure of PrSmHo2Se6 (PBE-GGA).

abc: 7.3266 7.3266 19.5131
angles: 90.00 90.00 120.00
Space group R3 (No. 146, hexagonal axes)
Symmetry-distinct sites (fractional):
Pr1 0.0000 0.0000 0.0000
Sm1 0.0000 0.0000 0.4966
Ho1 0.0000 0.0000 0.2970
Ho2 0.0000 0.0000 0.7990
Se1 0.0152 0.3113 0.8932
Se2 0.0222 0.6418 0.0599

raw total energy: -5.800 eV/atom


Entry from the Alexandria database: an optimized crystal structure of PrSm2HoSe6 (PBE-GGA).

abc: 7.3750 7.3750 19.7082
angles: 90.00 90.00 120.00
Space group R3 (No. 146, hexagonal axes)
Symmetry-distinct sites (fractional):
Pr1 0.0000 0.0000 0.0000
Sm1 0.0000 0.0000 0.2955
Sm2 0.0000 0.0000 0.7992
Ho1 0.0000 0.0000 0.4949
Se1 0.0076 0.7082 0.3982
Se2 0.0310 0.3546 0.5637

raw total energy: -5.810 eV/atom


Entry from the Alexandria database: an optimized crystal structure of PrSm2Ho3Se6 (PBE-GGA).

abc: 7.0763 12.3261 7.2514
angles: 90.00 109.11 90.00
Space group C2/m (No. 12)
Symmetry-distinct sites (fractional):
Pr1 0.0000 0.0000 0.0000
Sm1 0.0000 0.3338 0.0000
Ho1 0.0000 0.1636 0.5000
Ho2 0.0000 0.5000 0.5000
Se1 0.2426 0.3308 0.7355
Se2 0.2494 0.5000 0.2623

raw total energy: -5.851 eV/atom


Entry from the Alexandria database: an optimized crystal structure of PrHoSnSe (PBE-GGA).

abc: 4.3186 4.3186 6.1818
angles: 90.00 90.00 90.00
Space group P4/mmm (No. 123)
Symmetry-distinct sites (fractional):
Pr1 0.0000 0.0000 0.0000
Ho1 0.5000 0.5000 0.5000
Sn1 0.0000 0.0000 0.5000
Se1 0.5000 0.5000 0.0000

raw total energy: -5.471 eV/atom


Entry from the Alexandria database: an optimized crystal structure of Sr3PrHo3Se8 (PBE-GGA).

abc: 8.3497 8.3497 21.3487
angles: 90.00 90.00 120.00
Space group R-3m (No. 166, hexagonal axes)
Symmetry-distinct sites (fractional):
Sr1 0.0000 0.5000 0.0000
Pr1 0.0000 0.0000 0.5000
Ho1 0.0000 0.5000 0.5000
Se1 0.0000 0.0000 0.2429
Se2 0.0129 0.5065 0.7558

raw total energy: -5.339 eV/atom


Entry from the Alexandria database: an optimized crystal structure of SrPrHo2Se4 (PBE-GGA).

abc: 7.2654 4.1550 7.2969
angles: 90.00 108.93 90.00
Space group P2/m (No. 10)
Symmetry-distinct sites (fractional):
Sr1 0.0000 0.0000 0.0000
Pr1 0.5000 0.5000 0.0000
Ho1 0.0000 0.5000 0.5000
Ho2 0.5000 0.0000 0.5000
Se1 0.2439 0.0000 0.7311
Se2 0.2574 0.5000 0.2701

raw total energy: -5.515 eV/atom


Entry from the Alexandria database: an optimized crystal structure of Tb2PrHoSe6 (PBE-GGA).

abc: 7.3048 7.3048 19.5686
angles: 90.00 90.00 120.00
Space group R3 (No. 146, hexagonal axes)
Symmetry-distinct sites (fractional):
Tb1 0.0000 0.0000 0.0000
Tb2 0.0000 0.0000 0.4960
Pr1 0.0000 0.0000 0.1999
Ho1 0.0000 0.0000 0.6939
Se1 0.0180 0.7125 0.5958
Se2 0.0256 0.3578 0.7616

raw total energy: -5.798 eV/atom


Entry from the Alexandria database: an optimized crystal structure of TbPrHo2Se6 (PBE-GGA).

abc: 7.2878 7.2878 19.4964
angles: 90.00 90.00 120.00
Space group R3 (No. 146, hexagonal axes)
Symmetry-distinct sites (fractional):
Tb1 0.0000 0.0000 0.0000
Pr1 0.0000 0.0000 0.5056
Ho1 0.0000 0.0000 0.3055
Ho2 0.0000 0.0000 0.8021
Se1 0.0073 0.3107 0.3993
Se2 0.0237 0.6428 0.5664

raw total energy: -5.792 eV/atom


> Which value of raw total energy does entry 4 give?

-5.471 eV/atom